Record 1
Density functional theory data (GGA-PBEsol) for a relaxed K2Mn3V2CO11 crystal.

Lattice parameters (Å, degrees): 5.1502 5.1502 22.0419 90.00 90.00 120.00
Positions (direct):
K  0.3333  0.6667  0.1580
K  0.3333  0.6667  0.3420
K  0.6667  0.3333  0.6580
K  0.6667  0.3333  0.8420
Mn  0.0000  0.0000  0.2500
Mn  0.0000  0.0000  0.7500
Mn  0.3333  0.6667  0.5041
Mn  0.3333  0.6667  0.9959
Mn  0.6667  0.3333  0.0041
Mn  0.6667  0.3333  0.4959
V  0.0000  0.0000  0.0795
V  0.0000  0.0000  0.4205
V  0.0000  0.0000  0.5795
V  0.0000  0.0000  0.9205
C  0.3333  0.6667  0.7500
C  0.6667  0.3333  0.2500
O  0.0000  0.0000  0.1566
O  0.0000  0.0000  0.3434
O  0.0000  0.0000  0.6566
O  0.0000  0.0000  0.8434
O  0.0088  0.3258  0.0534
O  0.0088  0.3258  0.4466
O  0.0655  0.6294  0.7500
O  0.3169  0.9912  0.0534
O  0.3169  0.9912  0.4466
O  0.3258  0.3169  0.5534
O  0.3258  0.3169  0.9466
O  0.3706  0.4361  0.7500
O  0.4361  0.0655  0.2500
O  0.5639  0.9345  0.7500
O  0.6294  0.5639  0.2500
O  0.6742  0.6831  0.0534
O  0.6742  0.6831  0.4466
O  0.6831  0.0088  0.5534
O  0.6831  0.0088  0.9466
O  0.9345  0.3706  0.2500
O  0.9912  0.6742  0.5534
O  0.9912  0.6742  0.9466

Values from the calculation:
Total energy = -8.13 eV/atom
Spin magnetization = 15.0 μB/f.u.
Crystal system = hexagonal
Energy relative to the elements, uncorrected = -1913 meV per atom
Symmetry = P6_3/m

---

Record 2
Density functional theory data (GGA-PBEsol) for a relaxed K2MoC crystal.

Lattice parameters (Å, degrees): 8.6739 8.6739 8.6739 93.02 93.02 153.48
Positions (direct):
K  0.3750  0.0734  0.1984
K  0.8234  0.6250  0.6984
K  0.8750  0.1766  0.8016
K  0.9266  0.1250  0.3016
Mo  0.2500  0.7500  0.5000
Mo  0.5000  0.5000  0.0000
C  0.0000  0.0000  0.0000
C  0.7500  0.2500  0.5000

Values from the calculation:
Total energy = -4.73 eV/atom
Spin magnetization = 2.7 μB/f.u.
Crystal system = tetragonal
Symmetry = I-42d

---

Record 3
Density functional theory data (GGA-PBEsol) for a relaxed K6Mo6C5Se8N5 crystal.

Lattice parameters (Å, degrees): 9.3876 9.3876 9.3876 104.64 104.64 119.64
Positions (direct):
K  0.0000  0.5000  0.5000
K  0.0253  0.1207  0.6444
K  0.1207  0.4763  0.0954
K  0.3809  0.0253  0.9046
K  0.4763  0.3809  0.3556
K  0.5000  0.0000  0.5000
Mo  0.5417  0.5417  0.0000
Mo  0.5947  0.6962  0.7922
Mo  0.6962  0.9040  0.1015
Mo  0.8025  0.5947  0.8985
Mo  0.9040  0.8025  0.2078
Mo  0.9599  0.9599  0.0000
C  0.0825  0.8554  0.4384
C  0.1846  0.1846  0.0000
C  0.4170  0.6440  0.5616
C  0.6440  0.0825  0.2271
C  0.8554  0.4170  0.7729
Se  0.0401  0.1435  0.2967
Se  0.1435  0.8467  0.1034
Se  0.3551  0.6523  0.8964
Se  0.4587  0.3551  0.7029
Se  0.6523  0.7559  0.2971
Se  0.7434  0.0401  0.8966
Se  0.7559  0.4587  0.1036
Se  0.8467  0.7434  0.7033
N  0.1822  0.8823  0.5650
N  0.3113  0.3113  0.0000
N  0.3173  0.6171  0.4350
N  0.6171  0.1822  0.2998
N  0.8823  0.3173  0.7002

Values from the calculation:
Total energy = -7.20 eV/atom
Spin magnetization = 0.0 μB/f.u.
Crystal system = tetragonal
Energy relative to the elements, uncorrected = -566 meV per atom
Symmetry = I4